Record 1
The following is a PBE-GGA calculation of a relaxed structure of Rb3Sn5Te12, from the Alexandria database.

Calculated values
As for the crystal system: cubic. For the formation energy from raw total energies, the calculation gives -0.25 eV per atom. The value obtained for the total magnetic moment is 0.00 μB per formula unit. The density of states at the Fermi level comes out at 0.85 states/eV/atom.

abc: 16.1688 16.1688 16.1688
angles: 109.47 109.47 109.47
Last column: nearest neighbours and their distance in Å.
Element x y z (fractional)
Rb 0.7500 0.3750 0.1250  8 Te 3.62-3.72
Rb 0.8750 0.7500 0.1250  8 Te 3.62-3.72
Rb 0.3750 0.7500 0.6250  8 Te 3.62-3.72
Rb 0.2500 0.1250 0.3750  8 Te 3.62-3.72
Rb 0.8750 0.1250 0.2500  8 Te 3.62-3.72
Rb 0.3750 0.6250 0.2500  8 Te 3.62-3.72
Rb 0.6250 0.3750 0.7500  8 Te 3.62-3.72
Rb 0.1250 0.8750 0.7500  8 Te 3.62-3.72
Rb 0.7500 0.8750 0.6250  8 Te 3.62-3.72
Rb 0.6250 0.2500 0.3750  8 Te 3.62-3.72
Rb 0.1250 0.2500 0.8750  8 Te 3.62-3.72
Rb 0.2500 0.6250 0.8750  8 Te 3.62-3.72
Sn 0.1250 0.3750 0.2500  4 Te 2.85
Sn 0.0000 0.5000 0.0000  6 Te 2.98
Sn 0.0000 0.0000 0.0000  6 Te 2.98
Sn 0.3750 0.2500 0.1250  4 Te 2.85
Sn 0.5000 0.0000 0.5000  6 Te 2.98
Sn 0.5000 0.5000 0.0000  6 Te 2.98
Sn 0.1250 0.7500 0.3750  4 Te 2.85
Sn 0.7500 0.1250 0.8750  4 Te 2.85
Sn 0.7500 0.6250 0.3750  4 Te 2.85
Sn 0.3750 0.1250 0.7500  4 Te 2.85
Sn 0.6250 0.8750 0.2500  4 Te 2.85
Sn 0.5000 0.5000 0.5000  6 Te 2.98
Sn 0.5000 0.0000 0.0000  6 Te 2.98
Sn 0.0000 0.0000 0.5000  6 Te 2.98
Sn 0.2500 0.3750 0.6250  4 Te 2.85
Sn 0.2500 0.8750 0.1250  4 Te 2.85
Sn 0.0000 0.5000 0.5000  6 Te 2.98
Sn 0.8750 0.2500 0.6250  4 Te 2.85
Sn 0.6250 0.7500 0.8750  4 Te 2.85
Sn 0.8750 0.6250 0.7500  4 Te 2.85
Te 0.7042 0.1114 0.0271  2 Sn 2.85-2.98
Te 0.3229 0.5271 0.4157  2 Sn 2.85-2.98
Te 0.9729 0.3886 0.2958  2 Sn 2.85-2.98
Te 0.5271 0.2042 0.1114  2 Sn 2.85-2.98
Te 0.5928 0.7042 0.6771  2 Sn 2.85-2.98
Te 0.9729 0.5843 0.1771  2 Sn 2.85-2.98
Te 0.3229 0.7958 0.4072  2 Sn 2.85-2.98
Te 0.0843 0.9072 0.1114  2 Sn 2.85-2.98
Te 0.5843 0.9729 0.6771  2 Sn 2.85-2.98
Te 0.7042 0.5928 0.1771  2 Sn 2.85-2.98
Te 0.7958 0.4729 0.3886  2 Sn 2.85-2.98
Te 0.8229 0.9157 0.0271  2 Sn 2.85-2.98
Te 0.1114 0.7042 0.5271  2 Sn 2.85-2.98
Te 0.3886 0.4157 0.0928  2 Sn 2.85-2.98
Te 0.0928 0.9157 0.3886  2 Sn 2.85-2.98
Te 0.4072 0.1114 0.5843  2 Sn 2.85-2.98
Te 0.0928 0.1771 0.2042  2 Sn 2.85-2.98
Te 0.4729 0.6771 0.0843  2 Sn 2.85-2.98
Te 0.8229 0.9072 0.2958  2 Sn 2.85-2.98
Te 0.1114 0.4072 0.0843  2 Sn 2.85-2.98
Te 0.3886 0.9729 0.7958  2 Sn 2.85-2.98
Te 0.5843 0.6114 0.4072  2 Sn 2.85-2.98
Te 0.9157 0.8229 0.5271  2 Sn 2.85-2.98
Te 0.7958 0.3229 0.9072  2 Sn 2.85-2.98
Te 0.4157 0.3886 0.5928  2 Sn 2.85-2.98
Te 0.0843 0.1771 0.4729  2 Sn 2.85-2.98
Te 0.2042 0.6771 0.0928  2 Sn 2.85-2.98
Te 0.1771 0.0928 0.7042  2 Sn 2.85-2.98
Te 0.6114 0.0271 0.2042  2 Sn 2.85-2.98
Te 0.8886 0.5928 0.9157  2 Sn 2.85-2.98
Te 0.5271 0.3229 0.9157  2 Sn 2.85-2.98
Te 0.5928 0.8886 0.4157  2 Sn 2.85-2.98
Te 0.9072 0.8229 0.7958  2 Sn 2.85-2.98
Te 0.9072 0.0843 0.6114  2 Sn 2.85-2.98
Te 0.8886 0.2958 0.4729  2 Sn 2.85-2.98
Te 0.1771 0.0843 0.9729  2 Sn 2.85-2.98
Te 0.6114 0.5843 0.9072  2 Sn 2.85-2.98
Te 0.4157 0.0271 0.3229  2 Sn 2.85-2.98
Te 0.2958 0.4072 0.8229  2 Sn 2.85-2.98
Te 0.2042 0.5271 0.6114  2 Sn 2.85-2.98
Te 0.9157 0.0928 0.8886  2 Sn 2.85-2.98
Te 0.6771 0.2042 0.5928  2 Sn 2.85-2.98
Te 0.4729 0.7958 0.8886  2 Sn 2.85-2.98
Te 0.0271 0.4157 0.8229  2 Sn 2.85-2.98
Te 0.4072 0.2958 0.3229  2 Sn 2.85-2.98
Te 0.0271 0.6114 0.7042  2 Sn 2.85-2.98
Te 0.6771 0.4729 0.5843  2 Sn 2.85-2.98
Te 0.2958 0.8886 0.9729  2 Sn 2.85-2.98

---

Record 2
The following is a PBE-GGA calculation of a relaxed structure of Rb7SnTe6, from the Alexandria database.

Calculated values
As for the crystal system: orthorhombic. For the formation energy from raw total energies, the calculation gives -0.80 eV per atom. The value obtained for the total magnetic moment is 1.25 μB per formula unit. The density of states at the Fermi level comes out at 1.10 states/eV/atom.

abc: 9.4071 13.5178 13.5178
angles: 75.80 69.64 69.64
Last column: nearest neighbours and their distance in Å.
Element x y z (fractional)
Rb 0.7258 0.0370 0.9630  4 Te 3.62-3.71
Rb 0.2742 0.9630 0.0370  4 Te 3.62-3.71
Rb 0.7742 0.5370 0.4630  4 Te 3.62-3.71
Rb 0.2258 0.4630 0.5370  4 Te 3.62-3.71
Rb 0.4863 0.5798 0.1606  4 Te 3.66-3.81
Rb 0.7733 0.1606 0.5798  4 Te 3.66-3.81
Rb 0.0137 0.3394 0.9202  4 Te 3.66-3.81
Rb 0.7267 0.9202 0.3394  4 Te 3.66-3.81
Rb 0.5137 0.4202 0.8394  4 Te 3.66-3.81
Rb 0.2267 0.8394 0.4202  4 Te 3.66-3.81
Rb 0.9863 0.6606 0.0798  4 Te 3.66-3.81
Rb 0.2733 0.0798 0.6606  4 Te 3.66-3.81
Rb 0.2500 0.2500 0.2500  4 Te 3.71
Rb 0.7500 0.7500 0.7500  4 Te 3.71
Sn 0.7500 0.2500 0.2500  4 Te 2.78
Sn 0.2500 0.7500 0.7500  4 Te 2.78
Te 0.6433 0.2753 0.0751  1 Sn 2.78
Te 0.0062 0.0751 0.2753  1 Sn 2.78
Te 0.8567 0.4249 0.2247  1 Sn 2.78
Te 0.4938 0.2247 0.4249  1 Sn 2.78
Te 0.3567 0.7247 0.9249  1 Sn 2.78
Te 0.9938 0.9249 0.7247  1 Sn 2.78
Te 0.1433 0.5751 0.7753  1 Sn 2.78
Te 0.5062 0.7753 0.5751  1 Sn 2.78
Te 0.0785 0.6702 0.3298  6 Rb 3.62-3.81
Te 0.9215 0.3298 0.6702  6 Rb 3.62-3.81
Te 0.4215 0.1702 0.8298  6 Rb 3.62-3.81
Te 0.5785 0.8298 0.1702  6 Rb 3.62-3.81

---

Record 3
The following is a PBE-GGA calculation of a relaxed structure of RbSn4Te5, from the Alexandria database.

Calculated values
The excess energy over the best structure of this formula in the dataset is 0.0000 eV per atom. As for the crystal system: monoclinic. For the formation energy from raw total energies, the calculation gives -0.37 eV per atom. The value obtained for the total magnetic moment is 0.00 μB per formula unit. The density of states at the Fermi level comes out at 0.63 states/eV/atom.

abc: 4.5734 7.7856 10.5662
angles: 79.25 77.50 72.92
Last column: nearest neighbours and their distance in Å.
Element x y z (fractional)
Rb 0.0000 0.0000 0.0000  6 Te 3.48-3.59
Sn 0.5994 0.2039 0.5974  6 Te 3.08-3.24
Sn 0.2020 0.3878 0.2082  5 Te 3.05-3.37
Sn 0.7980 0.6122 0.7918  5 Te 3.05-3.37
Sn 0.4006 0.7961 0.4026  6 Te 3.08-3.24
Te 0.2004 0.9249 0.6743  5 Sn 3.08-3.37
Te 0.7996 0.0751 0.3257  5 Sn 3.08-3.37
Te 0.3873 0.3512 0.8742  3 Sn 3.05-3.19
Te 0.0000 0.5000 0.5000  6 Sn 3.23-3.24
Te 0.6127 0.6488 0.1258  3 Sn 3.05-3.19

---

Record 4
The following is a PBE-GGA calculation of a relaxed structure of RbSn3Te, from the Alexandria database.

Calculated values
The excess energy over the best structure of this formula in the dataset is 0.0000 eV per atom. As for the crystal system: cubic. For the formation energy from raw total energies, the calculation gives 0.28 eV per atom. The value obtained for the total magnetic moment is 0.00 μB per formula unit. The density of states at the Fermi level comes out at 0.71 states/eV/atom.

abc: 6.0147 6.0147 6.0147
angles: 90.00 90.00 90.00
Last column: nearest neighbours and their distance in Å.
Element x y z (fractional)
Te 0.0000 0.0000 0.0000  6 Sn 3.01
Sn 0.0000 0.5000 0.0000  2 Te 3.01
Sn 0.0000 0.0000 0.5000  2 Te 3.01
Sn 0.5000 0.0000 0.0000  2 Te 3.01
Rb 0.5000 0.5000 0.5000  12 Sn 4.25

---

Record 5
The following is a PBE-GGA calculation of a relaxed structure of RbSn3Te, from the Alexandria database.

Calculated values
The excess energy over the best structure of this formula in the dataset is 1.0247 eV per atom. As for the crystal system: cubic. For the formation energy from raw total energies, the calculation gives 1.31 eV per atom. The value obtained for the total magnetic moment is 0.87 μB per formula unit. The density of states at the Fermi level comes out at 1.87 states/eV/atom.

abc: 6.0943 6.0943 6.0943
angles: 90.00 90.00 90.00
Last column: nearest neighbours and their distance in Å.
Element x y z (fractional)
Te 0.5000 0.5000 0.5000  12 Sn 4.31
Sn 0.0000 0.5000 0.0000  2 Rb 3.05
Sn 0.0000 0.0000 0.5000  2 Rb 3.05
Sn 0.5000 0.0000 0.0000  2 Rb 3.05
Rb 0.0000 0.0000 0.0000  6 Sn 3.05

---

Record 6
The following is a PBE-GGA calculation of a relaxed structure of RbSn2Te4, from the Alexandria database.

Calculated values
The excess energy over the best structure of this formula in the dataset is 0.0308 eV per atom. As for the crystal system: orthorhombic. For the formation energy from raw total energies, the calculation gives -0.31 eV per atom. The value obtained for the total magnetic moment is 0.00 μB per formula unit. The density of states at the Fermi level comes out at 0.63 states/eV/atom.

abc: 4.3126 7.5738 16.1639
angles: 90.00 90.00 106.54
Last column: nearest neighbours and their distance in Å.
Element x y z (fractional)
Rb 0.5921 0.1842 0.7500  6 Te 3.68-3.71
Rb 0.4079 0.8158 0.2500  6 Te 3.68-3.71
Sn 0.1402 0.2803 0.4365  6 Te 2.95-3.14
Sn 0.8598 0.7197 0.9365  6 Te 2.95-3.14
Sn 0.1402 0.2803 0.0635  6 Te 2.95-3.14
Sn 0.8598 0.7197 0.5635  6 Te 2.95-3.14
Te 0.7785 0.5570 0.1035  3 Sn 2.95-3.02
Te 0.7785 0.5570 0.3965  3 Sn 2.95-3.02
Te 0.2215 0.4430 0.8965  3 Sn 2.95-3.02
Te 0.2215 0.4430 0.6035  3 Sn 2.95-3.02
Te 0.8864 0.7727 0.7500  2 Sn 3.04
Te 0.1136 0.2273 0.2500  2 Sn 3.04
Te 0.5000 0.0000 0.0000  4 Sn 3.14
Te 0.5000 0.0000 0.5000  4 Sn 3.14

---

| no. | electronic total energy (eV for the cell shown) |
| --- | --- |
| 1 | -262.16 |
| 2 | -81.66 |
| 3 | -36.40 |
| 4 | -14.70 |
| 5 | -9.58 |
| 6 | -47.41 |